[1]
## Sc2HOs (PBE)

Data for a geometry-optimized Sc2HOs structure.

a b c (Å): 3.0588 3.2710 6.4734
angles (deg): 90.24 90.00 90.00
Closest atoms and distances in Å follow each position.
Fractional positions:
Sc: 0.0000 0.9978 0.7548  2 H 2.25
Sc: 0.0000 0.0022 0.2452  2 H 2.25
H: 0.5000 0.0000 0.5000  4 Sc 2.25
Os: 0.5000 0.5000 0.0000  8 Sc 2.74, 2 Os 3.06

Values from the calculation:
The calculation puts the excess energy over the best structure of this formula in the dataset at 0 meV/atom. The crystal system is monoclinic. The total magnetization comes out at 0.0 μB per formula unit. The symmetry is No. 10.

[2]
## ScHOs2 (PBE)

Data for a geometry-optimized ScHOs2 structure.

a b c (Å): 5.4461 5.4461 5.4415
angles (deg): 59.97 59.97 90.00
Closest atoms and distances in Å follow each position.
Fractional positions:
Sc: 0.0000 0.0000 0.0000  12 Os 3.19, 4 Sc 3.33, 4 H 3.33
Sc: 0.7500 0.2500 0.5000  12 Os 3.19, 4 H 3.33, 4 Sc 3.33
H: 0.5000 0.5000 0.0000  4 Os 1.67
H: 0.2500 0.7500 0.5000  4 Os 1.67
Os: 0.3752 0.1250 0.2500  2 H 1.67
Os: 0.3748 0.6250 0.2500  2 H 1.67
Os: 0.3750 0.6248 0.7500  2 H 1.67
Os: 0.8750 0.6252 0.7500  2 H 1.67

Values from the calculation:
The calculation puts the excess energy over the best structure of this formula in the dataset at 0 meV/atom. The crystal system is tetragonal. The total magnetization comes out at 0.0 μB per formula unit. The symmetry is No. 141.

[3]
## Sc2SnHOs (PBE)

Data for a geometry-optimized Sc2SnHOs structure.

a b c (Å): 4.4874 4.4874 3.8690
angles (deg): 90.00 90.00 90.00
Closest atoms and distances in Å follow each position.
Fractional positions:
Sc: 0.0000 0.5000 0.0000  2 H 2.24
Sc: 0.5000 0.0000 0.0000  2 H 2.24
H: 0.0000 0.0000 0.0000  2 Os 1.93
Os: 0.0000 0.0000 0.5000  2 H 1.93
Sn: 0.5000 0.5000 0.5000  8 Sc 2.96, 4 Os 3.17

Values from the calculation:
The crystal system is tetragonal. The total magnetization comes out at 0.0 μB per formula unit. The symmetry is No. 123.

[4]
## SrScHOs2 (PBE)

Data for a geometry-optimized SrScHOs2 structure.

a b c (Å): 4.6521 6.4226 4.6521
angles (deg): 90.00 90.00 90.00
Closest atoms and distances in Å follow each position.
Fractional positions:
Sc: 0.0000 0.0000 0.0000  4 Os 2.33
Sr: 0.0000 0.5000 0.0000  2 Sc 3.21, 4 H 3.29
Os: 0.0000 0.0000 0.5000  2 Sc 2.33
Os: 0.5000 0.0000 0.0000  2 Sc 2.33
H: 0.5000 0.5000 0.5000  4 Sr 3.29

Values from the calculation:
The crystal system is tetragonal. The total magnetization comes out at 2.1 μB per formula unit. The symmetry is No. 123.

no.,total DFT energy (no corrections) (eV/atom)
1,-7.17
2,-7.83
3,-6.69
4,-4.92